GGA-PBEsol LaV, optimized geometry; Fermi-level density of states = 1.933 states/eV per atom; energy of formation from the pure elements = 655 meV/atom; spin magnetization = 2.8 μB/cell; space-group type = No. 221
1.0
3.6418 0.0000 0.0000
0.0000 3.6418 0.0000
0.0000 0.0000 3.6418
V La
1 1
direct
0.5000 0.5000 0.5000
0.0000 0.0000 0.0000